# PBE Na3CO, relaxed
# - M_tot (μB/cell) = 3.0
# - formation energy from raw total energies (eV per atom) = 0.229
# - energy (eV per atom) = -3.40
# - energy relative to the lowest polymorph listed for this composition (meV/atom) = 0
data_Na3CO
_cell_length_a 4.4976
_cell_length_b 4.4976
_cell_length_c 4.4976
_cell_angle_alpha 90.00
_cell_angle_beta 90.00
_cell_angle_gamma 90.00
_symmetry_space_group_name_H-M 'P 1'
_symmetry_Int_Tables_number 1
_symmetry_space_group_name_Hall 'P 1'
loop_
_atom_site_label
_atom_site_type_symbol
_atom_site_fract_x
_atom_site_fract_y
_atom_site_fract_z
Na1 Na 0.0000 0.5000 0.0000
Na2 Na 0.0000 0.0000 0.5000
Na3 Na 0.5000 0.0000 0.0000
C1 C 0.5000 0.5000 0.5000
O1 O 0.0000 0.0000 0.0000